The following is a DFT calculation (GGA-PBE) of Sb2Se2S after structural relaxation.

Output
**Mass density**: 5.11 g cm⁻³
**VASP energy**: -3.989 eV/atom
**Calculated volume**: 563.4 Å³ per cell
**Formation energy from raw total energies**: -0.121 eV per atom
**Crystal system**: orthorhombic

```
data_Sb2Se2S
_chemical_formula_sum 'Sb8 Se8 S4'
_cell_length_a 7.6762
_cell_length_b 11.6711
_cell_length_c 6.2883
_cell_angle_alpha 90.00
_cell_angle_beta 90.00
_cell_angle_gamma 90.00
_symmetry_space_group_name_H-M 'I b a m'
_symmetry_Int_Tables_number 72
_symmetry_space_group_name_Hall '-I 2 2c'
loop_
_atom_site_label
_atom_site_type_symbol
_atom_site_fract_x
_atom_site_fract_y
_atom_site_fract_z
Sb1 Sb 0.2459 0.0885 0.0000
Se1 Se 0.1464 0.1269 0.5000
S1 S 0.0000 0.5000 0.2500
```

The following is a DFT calculation (GGA-PBE) of ErHgSe2 after structural relaxation.

Output
**Mass density**: 7.49 g cm⁻³
**VASP energy**: -2.896 eV/atom
**Calculated volume**: 349.8 Å³ per cell
**Formation energy from raw total energies**: 0.062 eV per atom
**Crystal system**: trigonal

```
data_ErHgSe2
_chemical_formula_sum 'Er3 Hg3 Se6'
_cell_length_a 3.2828
_cell_length_b 3.2828
_cell_length_c 37.4832
_cell_angle_alpha 90.00
_cell_angle_beta 90.00
_cell_angle_gamma 120.00
_symmetry_space_group_name_H-M 'R -3 m'
_symmetry_Int_Tables_number 166
_symmetry_space_group_name_Hall '-R 3 2"'
loop_
_atom_site_label
_atom_site_type_symbol
_atom_site_fract_x
_atom_site_fract_y
_atom_site_fract_z
Er1 Er 0.0000 0.0000 0.0000
Hg1 Hg 0.0000 0.0000 0.5000
Se1 Se 0.0000 0.0000 0.0730
```